Record 1
Entry from Alexandria via LeMat-Bulk: an optimized crystal structure of Ce2HI (PBE-GGA).

Unit cell a=3.7689 b=3.7689 c=8.1090 alpha=76.56 beta=76.56 gamma=60.00
Closest atoms and distances in Å follow each position.
Atoms (fractional coordinates):
Ce (0.2271, 0.2271, 0.3188)  3 H 2.60
I (0.0000, 0.0000, 0.0000)  6 Ce 3.31
H (0.5000, 0.5000, 0.5000)  6 Ce 2.60
Ce (0.7729, 0.7729, 0.6812)  3 H 2.60

Space-group type: R-3m (166)
VASP energy: -4.70 eV per atom
DOS(E_F): 9.4 states/eV per cell
Calculated volume: 24.02 Å³ per atom

---

Record 2
Entry from Alexandria via LeMat-Bulk: an optimized crystal structure of Ba2ScIn (PBE-GGA).

Unit cell a=6.1168 b=6.1168 c=6.1168 alpha=126.25 beta=126.25 gamma=79.48
Closest atoms and distances in Å follow each position.
Atoms (fractional coordinates):
Ba (0.2500, 0.7500, 0.5000)  4 In 3.63, 4 Ba 3.63, 4 Sc 3.91
Ba (0.0000, 0.0000, 0.0000)  4 Ba 3.63, 4 Sc 3.63, 4 In 3.91
In (0.5000, 0.5000, 0.0000)  8 Ba 3.63-3.91, 4 Sc 3.63
Sc (0.7500, 0.2500, 0.5000)  4 In 3.63, 8 Ba 3.63-3.91

Space-group type: I-4m2 (119)
VASP energy: -3.15 eV per atom
DOS(E_F): 5.0 states/eV per cell
Calculated volume: 35.96 Å³ per atom

---

Record 3
Entry from Alexandria via LeMat-Bulk: an optimized crystal structure of LaBOsRh2 (PBE-GGA).

Unit cell a=4.3033 b=4.3033 c=4.2699 alpha=90.00 beta=90.00 gamma=90.00
Closest atoms and distances in Å follow each position.
Atoms (fractional coordinates):
La (0.5000, 0.5000, 0.5000)  8 Rh 3.03, 4 Os 3.04
Rh (0.0000, 0.5000, 0.0000)  2 B 2.15
B (0.0000, 0.0000, 0.0000)  2 Os 2.13, 4 Rh 2.15
Os (0.0000, 0.0000, 0.5000)  2 B 2.13
Rh (0.5000, 0.0000, 0.0000)  2 B 2.15

Space-group type: P4/mmm (123)
VASP energy: -7.90 eV per atom
DOS(E_F): 3.6 states/eV per cell
Calculated volume: 15.81 Å³ per atom

---

Record 4
Entry from Alexandria via LeMat-Bulk: an optimized crystal structure of BaFeSN2 (PBE-GGA).

Unit cell a=4.4988 b=4.4988 c=6.2934 alpha=90.00 beta=90.00 gamma=90.00
Closest atoms and distances in Å follow each position.
Atoms (fractional coordinates):
S (0.0000, 0.0000, 0.5000)  2 Ba 3.15, 4 Fe 3.18
Fe (0.5000, 0.5000, 0.5000)  4 S 3.18
N (0.5000, 0.0000, 0.0000)  2 Ba 2.25
N (0.0000, 0.5000, 0.0000)  2 Ba 2.25
Ba (0.0000, 0.0000, 0.0000)  4 N 2.25

Space-group type: P4/mmm (123)
Energy relative to the elements, uncorrected: 2.017 eV/atom
VASP energy: -4.22 eV per atom
DOS(E_F): 5.9 states/eV per cell
Energy above the lowest structure with this stoichiometry: 1826 meV per atom
Calculated volume: 25.47 Å³ per atom

---

Record 5
Entry from Alexandria via LeMat-Bulk: an optimized crystal structure of Re2PRu (PBE-GGA).

Unit cell a=5.5073 b=5.5073 c=6.5677 alpha=65.21 beta=65.21 gamma=90.00
Closest atoms and distances in Å follow each position.
Atoms (fractional coordinates):
Ru (0.7500, 0.2500, 0.5000)  4 Re 2.39
Re (0.1372, 0.6250, 0.2500)  2 P 2.32, 2 Ru 2.39
Ru (0.0000, 0.0000, 0.0000)  4 Re 2.39
Re (0.8750, 0.8628, 0.7500)  2 P 2.32, 2 Ru 2.39
Re (0.3750, 0.3872, 0.7500)  2 P 2.32, 2 Ru 2.39
P (0.5000, 0.5000, 0.0000)  4 Re 2.32
P (0.2500, 0.7500, 0.5000)  4 Re 2.32
Re (0.6128, 0.1250, 0.2500)  2 P 2.32, 2 Ru 2.39

Space-group type: I-42d (122)
VASP energy: -9.08 eV per atom
DOS(E_F): 5.8 states/eV per cell
Calculated volume: 20.05 Å³ per atom

---

Record 6
Entry from Alexandria via LeMat-Bulk: an optimized crystal structure of BaCeAs2 (PBE-GGA).

Unit cell a=4.3670 b=4.3670 c=8.0570 alpha=74.28 beta=74.28 gamma=60.00
Closest atoms and distances in Å follow each position.
Atoms (fractional coordinates):
Ba (0.4974, 0.4974, 0.5078)  6 As 3.33-3.43
As (0.2656, 0.2656, 0.2032)  3 Ce 2.98
As (0.0693, 0.0693, 0.7922)  3 Ce 2.97
Ce (0.6677, 0.6677, 0.9968)  6 As 2.97-2.98

Space-group type: R3m (160)
VASP energy: -5.48 eV per atom
Energy above the lowest structure with this stoichiometry: 64 meV per atom
Calculated volume: 31.60 Å³ per atom

---

Record 7
Entry from Alexandria via LeMat-Bulk: an optimized crystal structure of TlReMo2 (PBE-GGA).

Unit cell a=6.4018 b=4.9025 c=2.9853 alpha=89.94 beta=62.22 gamma=120.75
Closest atoms and distances in Å follow each position.
Atoms (fractional coordinates):
Tl (0.5000, 0.5000, 0.0000)  2 Re 2.83, 8 Mo 2.87, 2 Tl 2.99
Mo (0.5000, 0.0000, 0.5000)  4 Mo 2.83-2.99, 4 Re 2.87, 4 Tl 2.87
Re (0.0000, 0.5000, 0.5000)  2 Tl 2.83, 8 Mo 2.87, 2 Re 2.99
Mo (0.0000, 0.0000, 0.0000)  4 Mo 2.83-2.99, 4 Tl 2.87, 4 Re 2.87

Space-group type: Cmmm (65)
VASP energy: -8.44 eV per atom
DOS(E_F): 3.7 states/eV per cell
Energy above the lowest structure with this stoichiometry: 259 meV per atom
Calculated volume: 16.90 Å³ per atom

---

Record 8
Entry from Alexandria via LeMat-Bulk: an optimized crystal structure of KAc2AuO6 (PBE-GGA).

Unit cell a=4.9891 b=6.0121 c=6.0121 alpha=90.00 beta=90.00 gamma=90.00
Closest atoms and distances in Å follow each position.
Atoms (fractional coordinates):
O (0.7327, 0.2351, 0.2351)  1 Au 2.01
O (0.7327, 0.7649, 0.2351)  1 Au 2.01
O (0.7327, 0.7649, 0.7649)  1 Au 2.01
Ac (0.0014, 0.5000, 0.0000)  4 O 2.52
O (0.1857, 0.0000, 0.0000)  2 Au 2.41-2.58
K (0.5447, 0.5000, 0.5000)  5 O 2.32-2.44
O (0.0805, 0.5000, 0.5000)  1 K 2.32
O (0.7327, 0.2351, 0.7649)  1 Au 2.01
Ac (0.0014, 0.0000, 0.5000)  4 O 2.52
Au (0.7023, 0.0000, 0.0000)  4 O 2.01

Space-group type: P4mm (99)
Energy relative to the elements, uncorrected: -1.616 eV/atom
VASP energy: -5.85 eV per atom
DOS(E_F): 5.8 states/eV per cell
Calculated volume: 18.03 Å³ per atom

---

Question: Which formula does entry 2 have?
Answer: Ba2ScIn

---

Question: The lowest VASP energy belongs to which entry?
Answer: Re2PRu